{"formula": "DyYInPt", "functional": "GGA-PBE", "state": "optimized geometry", "lattice_angstrom": [[-1.9471, -1.0554, 4.6309], [-0.0958, -4.8422, 1.7012], [3.1078, -1.4389, 3.8238]], "species": ["Y", "In", "Pt", "Dy"], "frac_coords": [[0.5000, 0.5000, 0.5000], [0.2500, 0.2500, 0.2500], [0.7500, 0.7500, 0.7500], [0.0000, 0.0000, 0.0000]], "dos_ef_per_ev_cell": 3.185}

{"formula": "DyZnInPt", "functional": "GGA-PBE", "state": "optimized geometry", "lattice_angstrom": [[4.8121, 0.0000, 0.0000], [2.4061, 4.1674, 0.0000], [2.4061, 1.3891, 3.9291]], "species": ["Zn", "In", "Pt", "Dy"], "frac_coords": [[0.2500, 0.2500, 0.2500], [0.5000, 0.5000, 0.5000], [0.7500, 0.7500, 0.7500], [0.0000, 0.0000, 0.0000]], "dos_ef_per_ev_cell": 1.439}

{"formula": "DyPu2In", "functional": "GGA-PBE", "state": "optimized geometry", "lattice_angstrom": [[5.3811, 0.0000, 0.0000], [2.6906, 4.6602, 0.0000], [2.6906, 1.5534, 4.3937]], "species": ["Dy", "In", "Pu", "Pu"], "frac_coords": [[0.5000, 0.5000, 0.5000], [0.0000, 0.0000, 0.0000], [0.2500, 0.2500, 0.2500], [0.7500, 0.7500, 0.7500]], "dos_ef_per_ev_cell": 13.766}

{"formula": "Dy2PuIn3", "functional": "GGA-PBE", "state": "optimized geometry", "lattice_angstrom": [[-0.9352, 3.1903, 0.6106], [-0.9851, 0.3269, -3.2169], [-12.6308, -4.3581, 3.4252]], "species": ["Dy", "Dy", "Pu", "In", "In", "In"], "frac_coords": [[0.5000, 0.5000, 0.8367], [0.5000, 0.5000, 0.1633], [0.5000, 0.5000, 0.5000], [0.0000, 0.0000, 0.0000], [0.0000, 0.0000, 0.6707], [0.0000, 0.0000, 0.3293]], "dos_ef_per_ev_cell": 10.059}

{"formula": "Dy2PuIn9", "functional": "GGA-PBE", "state": "optimized geometry", "lattice_angstrom": [[4.6388, 0.0000, 0.0000], [0.0000, 4.6388, 0.0000], [0.0000, 0.0000, 13.9351]], "species": ["Dy", "Dy", "Pu", "In", "In", "In", "In", "In", "In", "In", "In", "In"], "frac_coords": [[0.0000, 0.0000, 0.3351], [0.0000, 0.0000, 0.6649], [0.0000, 0.0000, 0.0000], [0.5000, 0.5000, 0.0000], [0.5000, 0.5000, 0.3324], [0.5000, 0.5000, 0.6676], [0.5000, 0.0000, 0.1667], [0.5000, 0.0000, 0.5000], [0.5000, 0.0000, 0.8333], [0.0000, 0.5000, 0.1667], [0.0000, 0.5000, 0.5000], [0.0000, 0.5000, 0.8333]], "dos_ef_per_ev_cell": 15.272}

{"formula": "Dy2PuIn", "functional": "GGA-PBE", "state": "optimized geometry", "lattice_angstrom": [[-1.0554, 1.2804, -2.9814], [-0.8330, -2.0981, -2.5586], [-11.7798, -0.5263, 1.9914]], "species": ["Dy", "Dy", "In", "Pu"], "frac_coords": [[0.0932, 0.0932, 0.7204], [0.9068, 0.9068, 0.2796], [0.5000, 0.5000, 0.5000], [0.0000, 0.0000, 0.0000]], "dos_ef_per_ev_cell": 11.456}

{"formula": "DyPu2In", "functional": "GGA-PBE", "state": "optimized geometry", "lattice_angstrom": [[5.1431, 0.0000, 0.0000], [0.0000, 4.5451, 0.0000], [0.0000, 0.0000, 4.5451]], "species": ["Dy", "In", "Pu", "Pu"], "frac_coords": [[0.5000, 0.5000, 0.5000], [0.5000, 0.0000, 0.0000], [0.0000, 0.0000, 0.5000], [0.0000, 0.5000, 0.0000]], "dos_ef_per_ev_cell": 10.793}

{"formula": "Dy2PuIn", "functional": "GGA-PBE", "state": "optimized geometry", "lattice_angstrom": [[5.3957, 0.0000, 0.0000], [2.6979, 4.6728, 0.0000], [2.6979, 1.5576, 4.4056]], "species": ["Dy", "Dy", "In", "Pu"], "frac_coords": [[0.2500, 0.2500, 0.2500], [0.7500, 0.7500, 0.7500], [0.5000, 0.5000, 0.5000], [0.0000, 0.0000, 0.0000]], "dos_ef_per_ev_cell": 13.957}

no.,raw total energy (eV per cell)
1,-22.87
2,-17.36
3,-35.60
4,-33.87
5,-52.43
6,-25.70
7,-36.48
8,-26.49